Record 1
First-principles (PBE-GGA) data for crystalline LaNiBi2 at its relaxed geometry, as listed in the Alexandria database.

Geometry as POSCAR:
```
LaNiBi2
1.0
3.5540 0.0000 0.0000
1.7770 3.0778 0.0000
1.7770 1.0259 10.2988
Ni Bi La
1 2 1
direct
0.5000 0.5000 0.5000 Ni
0.1090 0.1090 0.6729 Bi
0.8910 0.8910 0.3271 Bi
0.0000 0.0000 0.0000 La
```

Computed properties:
DFT formation energy: 0.058 eV/atom
E: -0.168 Ha/atom



Record 2
First-principles (PBE-GGA) data for crystalline La8Ga3SiBr4 at its relaxed geometry, as listed in the Alexandria database.

Geometry as POSCAR:
```
La8Ga3SiBr4
1.0
-1.7965 8.7148 -0.1581
-3.9174 -0.9504 -7.8783
-2.6056 -4.9558 6.9122
La Ga Si Br
8 3 1 4
direct
0.2403 0.7268 0.9866 La
0.2404 0.7268 0.4807 La
0.2561 0.2685 0.5122 La
0.7462 0.7268 0.9866 La
0.2538 0.2732 0.0134 La
0.7439 0.7315 0.4878 La
0.7596 0.2732 0.5193 La
0.7597 0.2732 0.0134 La
0.5000 0.5000 0.0000 Ga
0.5000 0.5000 0.5000 Ga
0.0000 0.5000 0.5000 Ga
0.0000 0.5000 0.0000 Si
0.5000 0.0000 0.0000 Br
0.5000 0.0000 0.5000 Br
0.0000 0.0000 0.0000 Br
0.0000 0.0000 0.5000 Br
```

Computed properties:
E_form (uncorrected): -16.03 eV per formula unit
E: -0.176 Ha/atom



Record 3
First-principles (PBE-GGA) data for crystalline YBi2F2 at its relaxed geometry, as listed in the Alexandria database.

Geometry as POSCAR:
```
YBi2F2
1.0
4.4594 0.0000 0.0000
0.0000 4.4594 0.0000
2.2297 2.2297 5.6076
Y Bi F
1 2 2
direct
0.0000 0.0000 0.0000 Y
0.7500 0.2500 0.5000 Bi
0.2500 0.7500 0.5000 Bi
0.3957 0.3957 0.2086 F
0.6043 0.6043 0.7914 F
```

Computed properties:
E_form (uncorrected): -4.95 eV per formula unit
E: -0.168 Ha/atom
Excess energy over the best structure of this formula in the dataset: 5.10 eV/f.u.



Record 4
First-principles (PBE-GGA) data for crystalline Ag2HW at its relaxed geometry, as listed in the Alexandria database.

Geometry as POSCAR:
```
Ag2HW
1.0
4.0318 -1.3907 1.2197
0.4373 -2.8509 3.3702
1.2326 -4.1885 -0.7838
H Ag W
1 2 1
direct
0.0000 0.0000 0.0000 H
0.2500 0.2500 0.2500 Ag
0.7500 0.7500 0.7500 Ag
0.5000 0.5000 0.5000 W
```

Computed properties:
E: -0.144 Ha/atom
Excess energy over the best structure of this formula in the dataset: 1.86 eV/f.u.